DFT (GGA-PBE) results for a geometry-optimized Al5Cu structure.

Summary:
M_tot = 0.00 μB per cell
Formation enthalpy at 0 K = -6 meV per atom

Lattice parameters (Å, degrees): 7.550 7.550 4.435 90.00 90.00 158.03
Atoms (fractional coordinates):
Al (0.333, 0.667, 0.000)
Al (0.660, 0.340, 0.000)
Al (0.770, 0.230, 0.500)
Al (0.003, 0.997, 0.000)
Al (0.453, 0.547, 0.500)
Cu (0.115, 0.885, 0.500)